Record 1
DFT (PBE) results for a relaxed structure of Dy2BI.

Calculated values
* energy relative to the elements, uncorrected: -0.60 eV/atom
* symmetry: R-3m
* total energy: -4.9614 eV per atom

POSCAR file:
```
Dy2BI
1.0
3.952 0.000 0.000
-1.976 3.423 0.000
0.000 0.000 22.343
Dy B I
6 3 3
Cartesian
0.000 0.000 5.022
0.000 0.000 17.322
0.000 2.282 9.874
0.000 2.282 19.917
1.976 1.141 2.426
1.976 1.141 12.469
0.000 0.000 11.172
0.000 2.282 3.724
1.976 1.141 18.620
0.000 0.000 0.000
0.000 2.282 14.896
1.976 1.141 7.448
```

=====

Record 2
DFT (PBE) results for a relaxed structure of Zr2TcOs.

Calculated values
* symmetry: R-3m
* total energy: -9.6811 eV per atom

POSCAR file:
```
Zr2TcOs
1.0
3.178 0.000 0.000
-1.589 2.752 0.000
0.000 0.000 25.102
Zr Tc Os
6 3 3
Cartesian
0.000 0.000 6.286
0.000 0.000 18.816
0.000 1.835 10.449
0.000 1.835 23.020
1.589 0.917 2.082
1.589 0.917 14.653
0.000 0.000 0.000
0.000 1.835 16.735
1.589 0.917 8.367
0.000 0.000 12.551
0.000 1.835 4.184
1.589 0.917 20.918
```

=====

Record 3
DFT (PBE) results for a relaxed structure of Li2Tm5Pb4.

Calculated values
* symmetry: Immm
* total energy: -3.9494 eV per atom

POSCAR file:
```
Li2Tm5Pb4
1.0
-1.780 4.264 9.870
1.780 -4.264 9.870
1.780 4.264 -9.870
Li Tm Pb
2 5 4
Cartesian
0.000 0.000 1.558
0.000 0.000 18.181
1.780 2.496 -3.054
1.780 2.496 3.054
0.000 4.264 0.000
0.000 1.768 6.816
0.000 1.768 12.924
1.780 1.652 0.000
0.000 0.000 4.257
0.000 0.000 15.482
0.000 2.612 9.870
```

=====

Record 4
DFT (PBE) results for a relaxed structure of Ca3PbO4.

Calculated values
* energy relative to the elements, uncorrected: -2.40 eV/atom
* symmetry: Pmn2_1
* total energy: -6.0900 eV per atom

POSCAR file:
```
Ca3PbO4
1.0
8.175 0.000 0.000
0.000 7.091 0.000
0.000 0.000 4.952
Ca Pb O
6 2 8
Cartesian
0.000 1.218 4.952
2.039 4.715 0.000
2.049 2.376 2.476
4.088 5.873 2.476
6.126 2.376 2.476
6.136 4.715 0.000
0.000 5.919 2.476
4.088 1.172 4.951
0.000 1.327 2.475
0.000 5.935 0.008
1.933 2.430 4.950
2.154 4.661 2.474
4.088 1.156 2.484
4.088 5.764 4.950
6.021 4.661 2.474
6.242 2.430 4.950
```

=====

Record 5
DFT (PBE) results for a relaxed structure of HfScAgIr.

Calculated values
* symmetry: F-43m
* total energy: -7.5542 eV per atom

POSCAR file:
```
HfScAgIr
1.0
6.655 0.000 0.000
0.000 6.655 0.000
0.000 0.000 6.655
Hf Sc Ag Ir
4 4 4 4
Cartesian
0.000 0.000 0.000
0.000 3.327 3.327
3.327 0.000 3.327
3.327 3.327 0.000
0.000 0.000 3.327
0.000 3.327 0.000
3.327 0.000 0.000
3.327 3.327 3.327
1.664 1.664 1.664
1.664 4.991 4.991
4.991 1.664 4.991
4.991 4.991 1.664
1.664 1.664 4.991
1.664 4.991 1.664
4.991 1.664 1.664
4.991 4.991 4.991
```

=====

Record 6
DFT (PBE) results for a relaxed structure of FeGeBr.

Calculated values
* energy relative to the elements, uncorrected: -0.09 eV/atom
* symmetry: P-1
* total energy: -5.0044 eV per atom

POSCAR file:
```
FeGeBr
1.0
3.377 0.000 0.000
1.688 4.320 0.000
1.586 -0.114 9.178
Fe Ge Br
2 2 2
Cartesian
1.636 1.546 3.436
5.016 2.660 5.742
3.325 3.348 3.907
3.326 0.858 5.271
3.326 3.031 7.543
3.326 1.175 1.635
```

=====

Record 7
DFT (PBE) results for a relaxed structure of Pr6YEr.

Calculated values
* symmetry: P4/mmm
* total energy: -4.9507 eV per atom

POSCAR file:
```
Pr6YEr
1.0
5.189 0.000 0.000
0.000 5.189 0.000
0.000 0.000 10.379
Pr Y Er
6 1 1
Cartesian
0.000 0.000 0.000
0.000 0.000 5.190
0.000 2.594 2.581
0.000 2.594 7.798
2.594 0.000 2.581
2.594 0.000 7.798
2.594 2.594 5.190
2.594 2.594 0.000
```

=====

Record 8
DFT (PBE) results for a relaxed structure of CdH2RhBr.

Calculated values
* symmetry: P4/mmm
* total energy: -2.6569 eV per atom

POSCAR file:
```
CdH2RhBr
1.0
3.805 0.000 0.000
0.000 3.805 0.000
0.000 0.000 5.248
Cd H Rh Br
1 2 1 1
Cartesian
0.000 0.000 0.000
0.000 1.902 2.624
1.902 0.000 2.624
1.902 1.902 0.000
1.902 1.902 2.624
```

=====

Record 9
DFT (PBE) results for a relaxed structure of Ti2NbHgW.

Calculated values
* symmetry: P4/mmm
* total energy: -5.9291 eV per atom

POSCAR file:
```
Ti2NbHgW
1.0
4.772 0.000 0.000
0.000 4.772 0.000
0.000 0.000 5.059
Ti Nb Hg W
2 1 1 1
Cartesian
0.000 2.386 0.000
2.386 0.000 0.000
0.000 0.000 2.529
2.386 2.386 0.000
2.386 2.386 2.529
```

=====

Record 10
DFT (PBE) results for a relaxed structure of KCo6S8.

Calculated values
* energy relative to the elements, uncorrected: -0.46 eV/atom
* symmetry: R-3
* total energy: -5.5776 eV per atom

POSCAR file:
```
KCo6S8
1.0
4.412 2.547 3.623
-4.412 2.547 3.623
0.000 -5.095 3.623
K Co S
1 6 8
Cartesian
0.000 0.000 0.000
-1.683 -0.115 4.199
0.941 -1.400 4.199
-0.742 -1.515 6.670
0.742 1.515 4.199
-0.941 1.400 6.670
1.683 0.115 6.670
-1.096 -2.282 4.548
0.000 0.000 2.844
-2.525 -0.192 6.320
-1.428 2.091 4.548
1.428 -2.091 6.320
2.525 0.192 4.548
0.000 0.000 8.025
1.096 2.282 6.320
```

=====

Record 11
DFT (PBE) results for a relaxed structure of CsPuC2O8.

Calculated values
* energy relative to the elements, uncorrected: -1.78 eV/atom
* symmetry: C2/m
* total energy: -7.8853 eV per atom

POSCAR file:
```
CsPuC2O8
1.0
4.589 -2.695 0.000
4.589 2.695 0.000
-1.364 0.000 9.013
Cs Pu C O
1 1 2 8
Cartesian
0.000 0.000 0.000
-0.682 0.000 4.506
3.505 0.000 2.319
4.309 0.000 6.693
1.071 0.000 4.283
3.762 1.115 2.960
4.052 1.115 6.053
3.081 0.000 1.140
4.733 0.000 7.873
3.762 -1.115 2.960
4.052 -1.115 6.053
6.743 0.000 4.730
```

=====

Record 12
DFT (PBE) results for a relaxed structure of BaSc2H8.

Calculated values
* symmetry: C2/m
* total energy: -4.2497 eV per atom

POSCAR file:
```
BaSc2H8
1.0
3.101 -4.865 0.000
3.101 4.865 0.000
-0.461 0.000 3.956
Ba Sc H
1 2 8
Cartesian
0.000 0.000 0.000
2.870 1.695 1.978
2.870 -1.695 1.978
0.861 1.435 2.081
3.101 2.223 0.000
0.861 -1.435 2.081
2.491 0.000 0.987
3.250 0.000 2.969
4.880 1.435 1.875
3.101 -2.223 0.000
4.880 -1.435 1.875
```